(1)
## ScSb2ICl (PBE-GGA)

Data for ScSb2ICl after structural relaxation.

Cell: 5.090 5.090 6.306 Å, 90.00 90.00 90.00°
Sites, in units of the cell vectors:
I (0.000, 0.000, 0.500)
Sb (0.000, 0.500, 0.000)
Sb (0.500, 0.000, 0.000)
Sc (0.500, 0.500, 0.500)
Cl (0.000, 0.000, 0.000)

Calculated values
The formation energy (no corrections) is 412 meV per atom. Its energy above the most stable polymorph in this dataset is 494.4 meV/atom. The density of states at the Fermi level is 2.7 states/eV per cell. As for the size of the total moment: 0.0 Bohr magnetons per cell.

=====

(2)
## BeRe2SeS (PBE-GGA)

Data for BeRe2SeS after structural relaxation.

Cell: 4.367 3.940 4.367 Å, 90.00 90.00 90.00°
Sites, in units of the cell vectors:
Re (0.000, 0.000, 0.500)
Re (0.500, 0.000, 0.000)
S (0.500, 0.500, 0.500)
Se (0.000, 0.500, 0.000)
Be (0.000, 0.000, 0.000)

Calculated values
The formation energy (no corrections) is 1335 meV per atom. The density of states at the Fermi level is 5.7 states/eV per cell. As for the size of the total moment: 0.1 Bohr magnetons per cell.

=====

(3)
## Ba2YRu (PBE-GGA)

Data for Ba2YRu after structural relaxation.

Cell: 11.666 11.666 8.660 Å, 47.66 47.66 90.00°
Sites, in units of the cell vectors:
Y (0.500, 0.500, 0.000)
Y (0.250, 0.750, 0.500)
Ru (0.000, 0.000, 0.000)
Ru (0.750, 0.250, 0.500)
Ba (0.779, 0.125, 0.250)
Ba (0.971, 0.625, 0.250)
Ba (0.375, 0.221, 0.750)
Ba (0.875, 0.029, 0.750)

Calculated values
The value obtained for the energy relative to the elements is 1.46 eV per formula unit. Its energy above the most stable polymorph in this dataset is 262.9 meV/atom. The density of states at the Fermi level is 12.0 states/eV per cell. As for the size of the total moment: 0.0 Bohr magnetons per cell.

=====

(4)
## Sr3Pm2HoSe6 (PBE-GGA)

Data for Sr3Pm2HoSe6 after structural relaxation.

Cell: 7.355 7.355 7.516 Å, 99.42 99.42 119.93°
Sites, in units of the cell vectors:
Sr (0.169, 0.831, 0.500)
Sr (0.831, 0.169, 0.500)
Sr (0.500, 0.500, 0.500)
Pm (0.334, 0.666, 0.000)
Pm (0.666, 0.334, 0.000)
Ho (0.000, 0.000, 0.000)
Se (0.922, 0.596, 0.765)
Se (0.754, 0.754, 0.237)
Se (0.078, 0.404, 0.235)
Se (0.596, 0.922, 0.765)
Se (0.246, 0.246, 0.763)
Se (0.404, 0.078, 0.235)

Calculated values
The formation energy (no corrections) is -1902 meV per atom. The density of states at the Fermi level is 4.6 states/eV per cell. As for the size of the total moment: 0.0 Bohr magnetons per cell.

=====

(5)
## Cd2TeRh (PBE-GGA)

Data for Cd2TeRh after structural relaxation.

Cell: 7.001 7.001 4.371 Å, 71.54 71.54 26.41°
Sites, in units of the cell vectors:
Cd (0.310, 0.310, 0.690)
Cd (0.690, 0.690, 0.310)
Te (0.500, 0.500, 0.000)
Rh (0.000, 0.000, 0.500)

Calculated values
The formation energy (no corrections) is -10 meV per atom. The density of states at the Fermi level is 3.0 states/eV per cell. As for the size of the total moment: 0.0 Bohr magnetons per cell.

=====

(6)
## InH2Ir (PBE-GGA)

Data for InH2Ir after structural relaxation.

Cell: 3.941 3.941 3.941 Å, 60.00 60.00 60.00°
Sites, in units of the cell vectors:
H (0.250, 0.250, 0.250)
H (0.750, 0.750, 0.750)
Ir (0.500, 0.500, 0.500)
In (0.000, 0.000, 0.000)

Calculated values
Its energy above the most stable polymorph in this dataset is 863.6 meV/atom. The density of states at the Fermi level is 1.8 states/eV per cell. As for the size of the total moment: 0.0 Bohr magnetons per cell.

=====

(7)
## ThO3 (PBE-GGA)

Data for ThO3 after structural relaxation.

Cell: 3.626 3.626 3.626 Å, 90.00 90.00 90.00°
Sites, in units of the cell vectors:
O (0.000, 0.500, 0.500)
O (0.500, 0.000, 0.500)
O (0.500, 0.500, 0.000)
Th (0.000, 0.000, 0.000)

Calculated values
The formation energy (no corrections) is -2213 meV per atom. The density of states at the Fermi level is 0.5 states/eV per cell. As for the size of the total moment: 2.0 Bohr magnetons per cell.

=====

(8)
## MgCd5Au (PBE-GGA)

Data for MgCd5Au after structural relaxation.

Cell: 6.410 6.410 10.264 Å, 74.85 74.85 51.22°
Sites, in units of the cell vectors:
Mg (0.239, 0.761, 0.250)
Mg (0.761, 0.239, 0.750)
Cd (0.769, 0.761, 0.180)
Cd (0.360, 0.365, 0.528)
Cd (0.761, 0.769, 0.680)
Cd (0.740, 0.260, 0.250)
Cd (0.635, 0.640, 0.972)
Cd (0.365, 0.360, 0.028)
Cd (0.260, 0.740, 0.750)
Cd (0.239, 0.231, 0.320)
Cd (0.640, 0.635, 0.472)
Cd (0.231, 0.239, 0.820)
Au (0.000, 0.000, 0.000)
Au (0.000, 0.000, 0.500)

Calculated values
The value obtained for the energy relative to the elements is -0.52 eV per formula unit. The density of states at the Fermi level is 2.8 states/eV per cell. As for the size of the total moment: 0.0 Bohr magnetons per cell.

=====

(9)
## LuGePdAu (PBE-GGA)

Data for LuGePdAu after structural relaxation.

Cell: 4.737 4.737 4.737 Å, 60.00 60.00 60.00°
Sites, in units of the cell vectors:
Ge (0.250, 0.250, 0.250)
Lu (0.750, 0.750, 0.750)
Au (0.000, 0.000, 0.000)
Pd (0.500, 0.500, 0.500)

Calculated values
The value obtained for the energy relative to the elements is -2.56 eV per formula unit. The density of states at the Fermi level is 3.0 states/eV per cell. As for the size of the total moment: 0.0 Bohr magnetons per cell.

=====

(10)
## PIrAuC (PBE-GGA)

Data for PIrAuC after structural relaxation.

Cell: 4.585 3.103 5.532 Å, 90.00 105.69 90.00°
Sites, in units of the cell vectors:
P (0.802, 0.500, 0.234)
C (0.204, 0.500, 0.339)
Ir (0.468, 0.000, 0.378)
Au (0.625, 0.000, 0.878)

Calculated values
The value obtained for the energy relative to the elements is 2.13 eV per formula unit. Its energy above the most stable polymorph in this dataset is 158.7 meV/atom. The density of states at the Fermi level is 1.3 states/eV per cell. As for the size of the total moment: 0.0 Bohr magnetons per cell.

=====

(11)
## Cs3Er2TmSe6 (PBE-GGA)

Data for Cs3Er2TmSe6 after structural relaxation.

Cell: 7.325 7.325 8.710 Å, 98.06 98.06 120.00°
Sites, in units of the cell vectors:
Cs (0.167, 0.833, 0.500)
Cs (0.833, 0.167, 0.500)
Cs (0.500, 0.500, 0.500)
Er (0.333, 0.667, 0.000)
Er (0.667, 0.333, 0.000)
Tm (0.000, 0.000, 0.000)
Se (0.939, 0.606, 0.816)
Se (0.729, 0.729, 0.184)
Se (0.061, 0.394, 0.184)
Se (0.606, 0.939, 0.816)
Se (0.271, 0.271, 0.816)
Se (0.394, 0.061, 0.184)

Calculated values
The formation energy (no corrections) is -1715 meV per atom. The density of states at the Fermi level is 0.0 states/eV per cell. As for the size of the total moment: 0.0 Bohr magnetons per cell.

=====

(12)
## K2Na4Te (PBE-GGA)

Data for K2Na4Te after structural relaxation.

Cell: 5.887 5.887 12.292 Å, 76.15 76.15 90.00°
Sites, in units of the cell vectors:
Na (0.866, 0.866, 0.268)
Na (0.134, 0.134, 0.732)
Na (0.000, 0.500, 0.000)
Na (0.500, 0.000, 0.000)
K (0.691, 0.691, 0.618)
K (0.309, 0.309, 0.382)
Te (0.000, 0.000, 0.000)

Calculated values
The formation energy (no corrections) is -233 meV per atom. The density of states at the Fermi level is 4.3 states/eV per cell. As for the size of the total moment: 0.0 Bohr magnetons per cell.